Compound: CdHgPb2
Source: Alexandria via LeMat-Bulk
Functional: meta-GGA SCAN
Structure: PBEsol geometry

Cell: 3.5804 5.5142 6.2628 Å, 116.12 106.61 90.00°
Last column: nearest neighbours and their distance in Å.
Positions (direct):
Cd1 0.5000 0.0000 0.0000  4 Pb 3.20, 4 Hg 3.29, 2 Cd 3.58
Pb1 0.2493 0.2493 0.4985  2 Cd 3.20, 2 Hg 3.22, 6 Pb 3.29-3.58
Pb2 0.7507 0.7507 0.5015  2 Cd 3.20, 2 Hg 3.22, 6 Pb 3.29-3.58
Hg1 0.0000 0.5000 0.0000  4 Pb 3.22, 4 Cd 3.29, 2 Hg 3.58

Calculated values
DOS at the Fermi energy (states/eV per atom): 0.464
Uncorrected energy (eV/atom): -62.469
Energy relative to the lowest polymorph listed for this composition (eV/atom): 0.029
Formation energy (eV/atom): 0.07

---

Compound: CdHgPb2
Source: Alexandria via LeMat-Bulk
Functional: meta-GGA SCAN
Structure: PBEsol geometry

Cell: 5.2917 5.2917 5.2917 Å, 60.00 60.00 60.00°
Last column: nearest neighbours and their distance in Å.
Positions (direct):
Cd1 0.5000 0.5000 0.5000  4 Pb 3.24, 4 Hg 3.24
Pb1 0.7500 0.7500 0.7500  4 Pb 3.24, 4 Cd 3.24
Pb2 0.0000 0.0000 0.0000  4 Hg 3.24, 4 Pb 3.24
Hg1 0.2500 0.2500 0.2500  4 Cd 3.24, 4 Pb 3.24

Calculated values
DOS at the Fermi energy (states/eV per atom): 0.341
Uncorrected energy (eV/atom): -62.477
Energy relative to the lowest polymorph listed for this composition (eV/atom): 0.020
Formation energy (eV/atom): 0.06

---

Compound: CdHg2Pd2
Source: Alexandria via LeMat-Bulk
Functional: meta-GGA SCAN
Structure: PBEsol geometry

Cell: 3.7300 7.0518 7.0518 Å, 90.00 90.00 90.00°
Last column: nearest neighbours and their distance in Å.
Positions (direct):
Cd1 0.0000 0.5000 0.5000  4 Pd 2.73
Pd1 0.0000 0.8614 0.6386  2 Cd 2.73, 6 Hg 2.74-2.82, 1 Pd 2.76
Pd2 0.0000 0.1386 0.3614  2 Cd 2.73, 6 Hg 2.74-2.82, 1 Pd 2.76
Hg1 0.5000 0.1605 0.6605  6 Pd 2.74-2.82
Cd2 0.0000 0.0000 0.0000  4 Pd 2.73
Hg2 0.5000 0.8395 0.3395  6 Pd 2.74-2.82
Pd3 0.0000 0.3614 0.8614  2 Cd 2.73, 6 Hg 2.74-2.82, 1 Pd 2.76
Hg3 0.5000 0.6605 0.8395  6 Pd 2.74-2.82
Hg4 0.5000 0.3395 0.1605  6 Pd 2.74-2.82
Pd4 0.0000 0.6386 0.1386  2 Cd 2.73, 6 Hg 2.74-2.82, 1 Pd 2.76

Calculated values
DOS at the Fermi energy (states/eV per atom): 0.371
Uncorrected energy (eV/atom): -46.647
Formation energy (eV/atom): -0.19